{"formula": "Cu5Ag3", "functional": "PBE-GGA", "state": "relaxed", "cell": [[-2.501, 4.123, -0.142], [-4.217, 2.110, -1.021], [-0.871, -3.003, 8.575]], "species": ["Ag", "Ag", "Ag", "Cu", "Cu", "Cu", "Cu", "Cu"], "frac_coords": [[0.500, 0.500, 0.000], [0.741, 0.741, 0.362], [0.259, 0.259, 0.638], [0.258, 0.258, 0.117], [0.986, 0.986, 0.255], [0.500, 0.500, 0.500], [0.014, 0.014, 0.745], [0.742, 0.742, 0.883]], "final_energy_ev_per_fu": -26.3, "de_polymorph_mev_per_atom": 46, "vol_a3_per_fu": 113.1, "ef_mev_per_atom": 93, "density_g_cm3": 9.4}